Record 1
Density functional theory data (meta-GGA SCAN) for a PBEsol-optimized structure of TmZnGa.

Unit cell a=4.3058 b=4.3058 c=6.9660 alpha=90.00 beta=90.00 gamma=120.00
Fractional coordinates of all 6 atoms:
Zn1 0.3333 0.6667 0.7500
Zn2 0.6667 0.3333 0.2500
Tm1 0.0000 0.0000 0.0000
Tm2 0.0000 0.0000 0.5000
Ga1 0.3333 0.6667 0.2500
Ga2 0.6667 0.3333 0.7500

## Properties
The calculation puts the spin magnetization at 0.000 Bohr magnetons per cell.

Record 2
Density functional theory data (meta-GGA SCAN) for a PBEsol-optimized structure of YFeS2N.

Unit cell a=3.4563 b=4.6289 c=4.6289 alpha=90.00 beta=90.00 gamma=90.00
Fractional coordinates of all 5 atoms:
Y1 0.5000 0.5000 0.5000
S1 0.0000 0.0000 0.5000
S2 0.0000 0.5000 0.0000
Fe1 0.0000 0.0000 0.0000
N1 0.5000 0.0000 0.0000

## Properties
The calculation puts the spin magnetization at 0.607 Bohr magnetons per cell. The value obtained for the formation energy (no corrections) is -0.829 eV/atom.

Record 3
Density functional theory data (meta-GGA SCAN) for a PBEsol-optimized structure of Rb2Zn2Mo3O12.

Unit cell a=7.0370 b=9.2691 c=19.4041 alpha=90.00 beta=91.10 gamma=90.00
Fractional coordinates of all 76 atoms:
Rb1 0.2032 0.4762 0.4055
Rb2 0.7968 0.5238 0.5945
Rb3 0.2968 0.9762 0.0945
Rb4 0.7032 0.0238 0.9055
Rb5 0.6879 0.3855 0.2900
Rb6 0.3121 0.6145 0.7100
Rb7 0.8121 0.8855 0.2100
Rb8 0.1879 0.1145 0.7900
Zn1 0.3761 0.0925 0.4390
Zn2 0.6239 0.9075 0.5610
Zn3 0.1239 0.5925 0.0610
Zn4 0.8761 0.4075 0.9390
Zn5 0.4036 0.3661 0.1379
Zn6 0.5964 0.6339 0.8621
Zn7 0.0964 0.8661 0.3621
Zn8 0.9036 0.1339 0.6379
Mo1 0.8992 0.2882 0.1006
Mo2 0.1008 0.7118 0.8994
Mo3 0.6008 0.7882 0.3994
Mo4 0.3992 0.2118 0.6006
Mo5 0.2270 0.1827 0.2775
Mo6 0.7730 0.8173 0.7225
Mo7 0.2730 0.6827 0.2225
Mo8 0.7270 0.3173 0.7775
Mo9 0.8798 0.1550 0.4680
Mo10 0.1202 0.8450 0.5320
Mo11 0.6202 0.6550 0.0320
Mo12 0.3798 0.3450 0.9680
O1 0.1263 0.7147 0.1474
O2 0.8737 0.2853 0.8526
O3 0.3737 0.2147 0.3526
O4 0.6263 0.7853 0.6474
O5 0.1108 0.0137 0.2856
O6 0.8892 0.9863 0.7144
O7 0.3892 0.5137 0.2144
O8 0.6108 0.4863 0.7856
O9 0.1314 0.6943 0.2978
O10 0.8686 0.3057 0.7022
O11 0.3686 0.1943 0.2022
O12 0.6314 0.8057 0.7978
O13 0.0626 0.3204 0.2749
O14 0.9374 0.6796 0.7251
O15 0.4374 0.8204 0.2251
O16 0.5626 0.1796 0.7749
O17 0.6961 0.3538 0.1430
O18 0.3039 0.6462 0.8570
O19 0.8039 0.8538 0.3570
O20 0.1961 0.1462 0.6430
O21 0.4070 0.2534 0.0476
O22 0.5930 0.7466 0.9524
O23 0.0930 0.7534 0.4524
O24 0.9070 0.2466 0.5476
O25 0.8651 0.2951 0.4102
O26 0.1349 0.7049 0.5898
O27 0.6349 0.7951 0.0898
O28 0.3651 0.2049 0.9102
O29 0.9567 0.1226 0.1363
O30 0.0433 0.8774 0.8637
O31 0.5433 0.6226 0.3637
O32 0.4567 0.3774 0.6363
O33 0.8412 0.5587 0.0382
O34 0.1588 0.4413 0.9618
O35 0.6588 0.0587 0.4618
O36 0.3412 0.9413 0.5382
O37 0.1059 0.4017 0.1141
O38 0.8941 0.5983 0.8859
O39 0.3941 0.9017 0.3859
O40 0.6059 0.0983 0.6141
O41 0.8539 0.2540 0.0112
O42 0.1461 0.7460 0.9888
O43 0.6461 0.7540 0.4888
O44 0.3539 0.2460 0.5112
O45 0.0829 0.0475 0.4412
O46 0.9171 0.9525 0.5588
O47 0.4171 0.5475 0.0588
O48 0.5829 0.4525 0.9412

## Properties
The calculation puts the spin magnetization at 0.000 Bohr magnetons per cell. The value obtained for the formation energy (no corrections) is -2.113 eV/atom.

Record 4
Density functional theory data (meta-GGA SCAN) for a PBEsol-optimized structure of LiReBr.

Unit cell a=2.9339 b=2.9779 c=6.6642 alpha=83.77 beta=77.28 gamma=60.49
Fractional coordinates of all 3 atoms:
Re1 0.3365 0.0000 0.3271
Br1 0.9994 0.0000 0.0013
Li1 0.6642 0.0000 0.6717

## Properties
The calculation puts the spin magnetization at 0.566 Bohr magnetons per cell. The value obtained for the formation energy (no corrections) is 0.765 eV/atom.

Record 5
Density functional theory data (meta-GGA SCAN) for a PBEsol-optimized structure of AgPtW2.

Unit cell a=3.9973 b=3.9973 c=4.8015 alpha=114.60 beta=114.60 gamma=90.00
Fractional coordinates of all 4 atoms:
Ag1 0.0000 0.0000 0.0000
Pt1 0.2500 0.7500 0.5000
W1 0.5000 0.5000 0.0000
W2 0.7500 0.2500 0.5000

## Properties
The calculation puts the spin magnetization at 0.000 Bohr magnetons per cell. The value obtained for the offset from the most stable computed form is 0.1287 eV per atom.

Record 6
Density functional theory data (meta-GGA SCAN) for a PBEsol-optimized structure of Mg2SiSe4.

Unit cell a=6.2353 b=7.7927 c=13.3271 alpha=90.00 beta=90.00 gamma=90.00
Fractional coordinates of all 28 atoms:
Mg1 0.5000 0.0000 0.0000
Mg2 0.0000 0.0000 0.5000
Mg3 0.5000 0.5000 0.0000
Mg4 0.0000 0.5000 0.5000
Mg5 0.9922 0.2500 0.2319
Mg6 0.4922 0.7500 0.2681
Mg7 0.0078 0.7500 0.7681
Mg8 0.5078 0.2500 0.7319
Se1 0.7665 0.2500 0.4074
Se2 0.2665 0.7500 0.0926
Se3 0.2335 0.7500 0.5926
Se4 0.7335 0.2500 0.9074
Se5 0.2563 0.2500 0.5692
Se6 0.7563 0.7500 0.9308
Se7 0.7437 0.7500 0.4308
Se8 0.2437 0.2500 0.0692
Se9 0.2471 0.0203 0.3317
Se10 0.7471 0.9797 0.1683
Se11 0.7529 0.5203 0.6683
Se12 0.2529 0.4797 0.8317
Se13 0.7529 0.9797 0.6683
Se14 0.2529 0.0203 0.8317
Se15 0.2471 0.4797 0.3317
Se16 0.7471 0.5203 0.1683
Si1 0.4040 0.2500 0.4112
Si2 0.9040 0.7500 0.0888
Si3 0.5960 0.7500 0.5888
Si4 0.0960 0.2500 0.9112

## Properties
The calculation puts the spin magnetization at 0.000 Bohr magnetons per cell. The value obtained for the formation energy (no corrections) is -1.062 eV/atom.

Record 7
Density functional theory data (meta-GGA SCAN) for a PBEsol-optimized structure of LaIr2Se2.

Unit cell a=4.0127 b=4.0127 c=6.5187 alpha=107.93 beta=107.93 gamma=90.00
Fractional coordinates of all 5 atoms:
Ir1 0.2500 0.7500 0.5000
Ir2 0.7500 0.2500 0.5000
Se1 0.3781 0.3781 0.7562
Se2 0.6219 0.6219 0.2438
La1 0.0000 0.0000 0.0000

## Properties
The calculation puts the spin magnetization at 0.000 Bohr magnetons per cell. The value obtained for the formation energy (no corrections) is -0.508 eV/atom.

Record 8
Density functional theory data (meta-GGA SCAN) for a PBEsol-optimized structure of Mg2In.

Unit cell a=3.2838 b=5.9542 c=7.4661 alpha=103.08 beta=90.00 gamma=106.01
Fractional coordinates of all 6 atoms:
Mg1 0.3922 0.7845 0.2753
Mg2 0.0569 0.1138 0.6076
Mg3 0.3351 0.6703 0.6705
Mg4 0.7155 0.4309 0.9465
In1 0.9929 0.9859 0.9927
In2 0.6740 0.3480 0.3407

## Properties
The calculation puts the spin magnetization at 0.000 Bohr magnetons per cell.

| no. | energy (eV/atom) |
| --- | --- |
| 1 | -27.89 |
| 2 | -15.73 |
| 3 | -15.16 |
| 4 | -30.22 |
| 5 | -59.87 |
| 6 | -15.39 |
| 7 | -45.60 |
| 8 | -14.55 |